(1)
LiVNiO4 (SCAN, single point on PBEsol structure); spin magnetization = 4.00 μB/cell; volume = 133.6 Å³/cell; electronic total energy = -10.973 eV per atom; DOS(E_F) = 0.000 states/eV per atom
1.0
5.715 0.000 0.000
2.858 4.965 -0.001
2.858 1.582 4.707
O V Li Ni
8 2 2 2
Direct
0.752 0.236 0.259 O
0.248 0.764 0.741 O
0.248 0.241 0.264 O
0.249 0.247 0.747 O
0.757 0.247 0.747 O
0.751 0.753 0.253 O
0.243 0.753 0.253 O
0.752 0.759 0.736 O
0.372 0.878 0.378 V
0.628 0.122 0.622 V
0.500 0.500 0.000 Li
0.000 0.500 0.000 Li
0.000 0.500 0.500 Ni
0.000 0.000 0.000 Ni



(2)
Cd2CoRu (SCAN, single point on PBEsol structure); formation energy from the elements = 124 kJ/mol of formula units; spin magnetization = 2.92 μB/cell; volume = 61.5 Å³/cell; electronic total energy = -27.919 eV per atom; DOS(E_F) = 0.366 states/eV per atom
1.0
-2.299 0.580 2.056
-2.905 -1.853 -2.725
3.322 -3.323 2.259
Co Cd Ru
1 2 1
Direct
0.500 0.000 0.000 Co
0.763 0.763 0.526 Cd
0.237 0.237 0.474 Cd
0.000 0.500 0.000 Ru



(3)
La2ScAg2 (SCAN, single point on PBEsol structure); formation energy from the elements = -105 kJ/mol of formula units; spin magnetization = 0.00 μB/cell; volume = 263.6 Å³/cell; electronic total energy = -32.854 eV per atom; DOS(E_F) = 1.036 states/eV per atom
1.0
-1.039 -1.027 3.660
-6.666 -3.720 -2.936
4.220 -6.965 -0.757
La Ag Sc
4 4 2
Direct
0.500 0.322 0.178 La
0.500 0.678 0.822 La
0.500 0.178 0.678 La
0.500 0.822 0.322 La
0.000 0.123 0.377 Ag
0.000 0.623 0.123 Ag
0.000 0.377 0.877 Ag
0.000 0.877 0.623 Ag
0.000 0.500 0.500 Sc
0.000 0.000 0.000 Sc



(4)
MgCdPb2 (SCAN, single point on PBEsol structure); formation energy from the elements = -5 kJ/mol of formula units; spin magnetization = 0.00 μB/cell; volume = 103.3 Å³/cell; electronic total energy = -46.750 eV per atom; DOS(E_F) = 0.558 states/eV per atom
1.0
3.727 0.000 0.000
0.000 3.727 0.000
0.000 0.000 7.435
Mg Pb Cd
1 2 1
Direct
0.500 0.500 0.500 Mg
0.000 0.000 0.748 Pb
0.000 0.000 0.252 Pb
0.500 0.500 0.000 Cd



(5)
Li2Sn5 (SCAN, single point on PBEsol structure); formation energy from the elements = -139 kJ/mol of formula units; spin magnetization = 0.00 μB/cell; volume = 321.4 Å³/cell; electronic total energy = -26.546 eV per atom; DOS(E_F) = 0.348 states/eV per atom
1.0
3.098 0.000 0.000
0.000 10.186 0.000
0.000 0.000 10.186
Sn Li
10 4
Direct
0.000 0.705 0.432 Sn
0.000 0.795 0.932 Sn
0.000 0.432 0.295 Sn
0.000 0.932 0.205 Sn
0.000 0.295 0.568 Sn
0.000 0.068 0.795 Sn
0.000 0.568 0.705 Sn
0.000 0.500 0.000 Sn
0.000 0.205 0.068 Sn
0.000 0.000 0.500 Sn
0.500 0.675 0.175 Li
0.500 0.825 0.675 Li
0.500 0.325 0.825 Li
0.500 0.175 0.325 Li



(6)
K8Sb (SCAN, single point on PBEsol structure); spin magnetization = 0.35 μB/cell; volume = 491.8 Å³/cell; electronic total energy = -11.670 eV per atom; DOS(E_F) = 0.574 states/eV per atom
1.0
5.422 0.000 0.000
2.711 9.524 0.000
2.711 0.000 9.524
K Sb
8 1
Direct
0.687 0.313 0.313 K
0.313 0.687 0.687 K
0.000 0.687 0.313 K
0.000 0.313 0.687 K
0.636 0.000 0.729 K
0.364 0.000 0.271 K
0.364 0.271 0.000 K
0.636 0.729 0.000 K
0.000 0.000 0.000 Sb



Question: Which of these has the highest electronic total energy?
Answer: LiVNiO4



Question: What is the formula in the sixth record?
Answer: K8Sb



Question: Among the records above, which one has the highest DOS(E_F)?
Answer: La2ScAg2